The following is a GGA-PBE calculation of a relaxed TiGe2Te8 crystal, from Alexandria via LeMat-Bulk.

Output
The density of states at the Fermi level is 5.930 states/eV/cell. For the total energy, the calculation gives -40.72 eV/f.u. The energy relative to the elements, uncorrected is 148.6 kJ/mol of formula units.

Unit cell a=7.8316 b=7.8316 c=7.5723 alpha=90.00 beta=90.00 gamma=120.00
Closest atoms and distances in Å follow each position.
Space group P-3m1 (No. 164)
Unique sites:
Ti  0.0000  0.0000  0.0000 (multiplicity 1)  6 Te 2.75
Ge  0.3333  0.6667  0.6729 (multiplicity 2)  4 Te 2.60-2.70
Te  0.1374  0.2747  0.7332 (multiplicity 6)  1 Ge 2.70, 1 Ti 2.75
Te  0.3333  0.6667  0.3299 (multiplicity 2)  1 Ge 2.60

***

The following is a GGA-PBE calculation of a relaxed Ti3GeTe3 crystal, from Alexandria via LeMat-Bulk.

Output
The density of states at the Fermi level is 30.221 states/eV/cell. For the total energy, the calculation gives -42.16 eV/f.u. The energy relative to the elements, uncorrected is -428.0 kJ/mol of formula units.

Unit cell a=10.8435 b=10.8435 c=10.8435 alpha=90.00 beta=90.00 gamma=90.00
Closest atoms and distances in Å follow each position.
Space group I4_132 (No. 214)
Unique sites:
Ti  0.1120  0.3620  0.1250 (multiplicity 24)  2 Ge 2.57, 4 Te 2.78-2.86
Ge  0.1250  0.1250  0.1250 (multiplicity 8)  6 Ti 2.57
Te  0.1198  0.1302  0.6250 (multiplicity 24)  4 Ti 2.78-2.86

***

The following is a GGA-PBE calculation of a relaxed TiGeTe4 crystal, from Alexandria via LeMat-Bulk.

Output
The density of states at the Fermi level is 7.634 states/eV/cell. For the total energy, the calculation gives -26.69 eV/f.u. The energy relative to the elements, uncorrected is -155.1 kJ/mol of formula units.

Unit cell a=6.8897 b=7.0012 c=7.0341 alpha=90.00 beta=91.89 gamma=90.00
Closest atoms and distances in Å follow each position.
Space group P2_1/c (No. 14)
Unique sites:
Ti  0.0000  0.0000  0.0000 (multiplicity 2)  6 Te 2.76-2.80
Ge  0.5000  0.0000  0.5000 (multiplicity 2)  6 Te 2.99-3.05
Te  0.1050  0.1440  0.3544 (multiplicity 4)  2 Ti 2.76-2.80, 1 Ge 3.05
Te  0.3611  0.6117  0.3840 (multiplicity 4)  1 Ti 2.76, 1 Te 2.93, 2 Ge 2.99-3.00

***

- Which of these has the lowest energy relative to the elements, uncorrected?
  Ti3GeTe3

***

Repeat the third record exactly.
The following is a GGA-PBE calculation of a relaxed TiGeTe4 crystal, from Alexandria via LeMat-Bulk.

Output
The density of states at the Fermi level is 7.634 states/eV/cell. For the total energy, the calculation gives -26.69 eV/f.u. The energy relative to the elements, uncorrected is -155.1 kJ/mol of formula units.

Unit cell a=6.8897 b=7.0012 c=7.0341 alpha=90.00 beta=91.89 gamma=90.00
Closest atoms and distances in Å follow each position.
Space group P2_1/c (No. 14)
Unique sites:
Ti  0.0000  0.0000  0.0000 (multiplicity 2)  6 Te 2.76-2.80
Ge  0.5000  0.0000  0.5000 (multiplicity 2)  6 Te 2.99-3.05
Te  0.1050  0.1440  0.3544 (multiplicity 4)  2 Ti 2.76-2.80, 1 Ge 3.05
Te  0.3611  0.6117  0.3840 (multiplicity 4)  1 Ti 2.76, 1 Te 2.93, 2 Ge 2.99-3.00